VASP calculation (GGA-PBE) on Ta2TcAu after structural relaxation.

Geometry as CIF:
```
data_Ta2TcAu
_chemical_formula_sum 'Ta4 Tc2 Au2'
_symmetry_space_group_name_H-M 'P 1'
_symmetry_Int_Tables_number 1
_cell_length_a 5.853
_cell_length_b 5.853
_cell_length_c 5.853
_cell_angle_alpha 103.30
_cell_angle_beta 103.30
_cell_angle_gamma 122.68
loop_
_symmetry_equiv_pos_as_xyz
'x,y,z'
loop_
_atom_site_label
_atom_site_type_symbol
_atom_site_fract_x
_atom_site_fract_y
_atom_site_fract_z
Ta1 Ta 0.100 0.625 0.975
Ta2 Ta 0.375 0.350 0.475
Ta3 Ta 0.650 0.125 0.025
Ta4 Ta 0.875 0.900 0.525
Tc1 Tc 0.000 0.000 0.000
Tc2 Tc 0.750 0.250 0.500
Au1 Au 0.250 0.750 0.500
Au2 Au 0.500 0.500 0.000
```

## Properties
energy of formation from the pure elements	0.4442	eV/atom
spin magnetization	0.000	μB per atom
DOS at the Fermi energy	4.23	states/eV/f.u.
symmetry	I-42d (122)
energy above the most stable polymorph in this dataset	577	meV per atom